Density functional theory data (GGA-PBE) for a relaxed structure of LiAcPdAu2.

Properties
energy: -4.22 eV/atom
DOS at the Fermi energy: 0.48 states/eV/atom

abc: 4.131 4.205 7.061
angles: 107.32 107.01 90.00
Sites, in units of the cell vectors:
Li 0.192 0.692 0.385
Ac 0.430 0.430 0.859
Pd 0.838 0.838 0.676
Au 0.700 0.200 0.400
Au 0.052 0.052 0.104